# CrSN2Cl

A relaxed CrSN2Cl crystal (PBE, Alexandria).

a = 3.6328 Å, b = 3.6328 Å, c = 5.1561 Å
α = 90.00°, β = 90.00°, γ = 90.00°
With the nearest neighbours (Å) after each atom.
Fractional positions:
Cr (0.0000, 0.0000, 0.0000)  4 N 1.82
S (0.0000, 0.0000, 0.5000)  4 Cl 2.57, 2 Cr 2.58
N (0.0000, 0.5000, 0.0000)  2 Cr 1.82
N (0.5000, 0.0000, 0.0000)  2 Cr 1.82
Cl (0.5000, 0.5000, 0.5000)  4 S 2.57

Values from the calculation:
- Magnetic moment: 0.39 μB/f.u.
- ΔE to the lowest computed polymorph: 0 kJ/mol of formula units
- Raw formation energy: 0.662 eV/atom
- DOS at the Fermi energy: 2.1 states/eV/cell